First-principles (PBE-GGA) data for an optimized crystal structure of La2Cd3Hg, as listed in Alexandria via LeMat-Bulk.

Unit cell a=7.048 b=10.257 c=17.817 alpha=90.00 beta=90.00 gamma=90.00
Space group Fmmm (No. 69)
Asymmetric unit:
La: 0.243 0.000 0.000 [8 per cell]
La: 0.250 0.250 0.250 [8 per cell]
Cd: 0.000 0.000 0.334 [8 per cell]
Cd: 0.000 0.248 0.417 [16 per cell]
Hg: 0.000 0.000 0.167 [8 per cell]

Properties
Energy of formation   -0.41 eV per atom
Total energy   -122.9 eV for the cell shown



First-principles (PBE-GGA) data for an optimized crystal structure of PuNiAu, as listed in Alexandria via LeMat-Bulk.

Unit cell a=3.230 b=3.230 c=10.699 alpha=90.00 beta=90.00 gamma=90.00
Space group I4mm (No. 107)
Asymmetric unit:
Pu: 0.000 0.000 0.000 [2 per cell]
Ni: 0.000 0.000 0.341 [2 per cell]
Au: 0.000 0.000 0.704 [2 per cell]

Properties
Energy of formation   -0.14 eV per atom
Total energy   -47.6 eV for the cell shown



First-principles (PBE-GGA) data for an optimized crystal structure of ZnInSnGe, as listed in Alexandria via LeMat-Bulk.

Unit cell a=7.124 b=7.124 c=7.124 alpha=90.00 beta=90.00 gamma=90.00
Space group F-43m (No. 216)
Asymmetric unit:
Zn: 0.000 0.000 0.000 [4 per cell]
In: 0.250 0.250 0.250 [4 per cell]
Sn: 0.250 0.250 0.750 [4 per cell]
Ge: 0.000 0.000 0.500 [4 per cell]

Properties
Energy of formation   0.15 eV per atom
Total energy   -48.1 eV for the cell shown



First-principles (PBE-GGA) data for an optimized crystal structure of Na2YH, as listed in Alexandria via LeMat-Bulk.

Unit cell a=6.774 b=6.774 c=9.599 alpha=90.00 beta=90.00 gamma=90.00
Space group I-42d (No. 122)
Asymmetric unit:
Na: 0.001 0.250 0.125 [8 per cell]
Y: 0.000 0.000 0.500 [4 per cell]
H: 0.000 0.000 0.000 [4 per cell]

Properties
Total energy   -43.2 eV for the cell shown
Excess energy over the best structure of this formula in the dataset   0 meV per atom



First-principles (PBE-GGA) data for an optimized crystal structure of ScHgI2N, as listed in Alexandria via LeMat-Bulk.

Unit cell a=5.969 b=5.969 c=4.117 alpha=90.00 beta=90.00 gamma=90.00
Space group P4/mmm (No. 123)
Asymmetric unit:
Sc: 0.000 0.000 0.000 [1 per cell]
Hg: 0.500 0.500 0.500 [1 per cell]
I: 0.000 0.500 0.000 [2 per cell]
N: 0.000 0.000 0.500 [1 per cell]

Properties
Formation energy from raw total energies   -0.151 eV per atom
Total energy   -18.8 eV for the cell shown
Excess energy over the best structure of this formula in the dataset   0 meV per atom



First-principles (PBE-GGA) data for an optimized crystal structure of KCr2Co, as listed in Alexandria via LeMat-Bulk.

Unit cell a=2.474 b=5.090 c=10.272 alpha=90.00 beta=90.00 gamma=90.00
Space group Immm (No. 71)
Asymmetric unit:
K: 0.000 0.000 0.000 [2 per cell]
Cr: 0.000 0.500 0.202 [4 per cell]
Co: 0.000 0.000 0.500 [2 per cell]

Properties
Energy of formation   1.27 eV per atom
Total energy   -44.7 eV for the cell shown
Excess energy over the best structure of this formula in the dataset   514 meV per atom



First-principles (PBE-GGA) data for an optimized crystal structure of KCuPdBr2, as listed in Alexandria via LeMat-Bulk.

Unit cell a=4.986 b=4.986 c=5.791 alpha=90.00 beta=90.00 gamma=90.00
Space group P4/mmm (No. 123)
Asymmetric unit:
K: 0.000 0.000 0.000 [1 per cell]
Cu: 0.000 0.000 0.500 [1 per cell]
Pd: 0.500 0.500 0.000 [1 per cell]
Br: 0.000 0.500 0.500 [2 per cell]

Properties
Formation energy from raw total energies   0.064 eV per atom
Total energy   -13.4 eV for the cell shown



First-principles (PBE-GGA) data for an optimized crystal structure of YCrGa2, as listed in Alexandria via LeMat-Bulk.

Unit cell a=4.555 b=4.555 c=17.715 alpha=90.00 beta=90.00 gamma=90.00
Space group I-42d (No. 122)
Asymmetric unit:
Y: 0.000 0.000 0.000 [4 per cell]
Cr: 0.000 0.000 0.500 [4 per cell]
Ga: 0.127 0.250 0.625 [8 per cell]

Properties
Energy of formation   0.18 eV per atom
Total energy   -85.6 eV for the cell shown



First-principles (PBE-GGA) data for an optimized crystal structure of AcPr2YP4, as listed in Alexandria via LeMat-Bulk.

Unit cell a=7.315 b=4.226 c=7.316 alpha=90.00 beta=109.36 gamma=90.00
Space group P2/m (No. 10)
Asymmetric unit:
Ac: 0.000 0.000 0.000 [1 per cell]
Pr: 0.500 0.000 0.500 [1 per cell]
Pr: 0.500 0.500 0.000 [1 per cell]
Y: 0.000 0.500 0.500 [1 per cell]
P: 0.247 0.000 0.739 [2 per cell]
P: 0.254 0.500 0.262 [2 per cell]

Properties
Energy of formation   -1.49 eV per atom
Total energy   -53.7 eV for the cell shown



First-principles (PBE-GGA) data for an optimized crystal structure of FeCu2Tc, as listed in Alexandria via LeMat-Bulk.

Unit cell a=3.740 b=3.740 c=7.137 alpha=90.00 beta=90.00 gamma=90.00
Space group I-4m2 (No. 119)
Asymmetric unit:
Fe: 0.000 0.000 0.000 [2 per cell]
Cu: 0.000 0.000 0.500 [2 per cell]
Cu: 0.000 0.500 0.750 [2 per cell]
Tc: 0.000 0.500 0.250 [2 per cell]

Properties
Energy of formation   0.26 eV per atom
Total energy   -51.9 eV for the cell shown
Excess energy over the best structure of this formula in the dataset   112 meV per atom



First-principles (PBE-GGA) data for an optimized crystal structure of Rb2CaHoF6, as listed in Alexandria via LeMat-Bulk.

Unit cell a=6.575 b=9.077 c=6.392 alpha=90.00 beta=90.00 gamma=90.00
Space group Pmmn (No. 59, origin choice 2)
Asymmetric unit:
Rb: 0.250 0.011 0.222 [4 per cell]
Ca: 0.250 0.250 0.732 [2 per cell]
Ho: 0.250 0.750 0.739 [2 per cell]
F: 0.006 0.750 0.001 [4 per cell]
F: 0.039 0.250 0.440 [4 per cell]
F: 0.250 0.506 0.761 [4 per cell]

Properties
Formation energy from raw total energies   -3.285 eV per atom
Total energy   -105.2 eV for the cell shown



First-principles (PBE-GGA) data for an optimized crystal structure of BaLa3Bi, as listed in Alexandria via LeMat-Bulk.

Unit cell a=6.285 b=6.285 c=6.285 alpha=90.00 beta=90.00 gamma=90.00
Space group Pm-3m (No. 221)
Asymmetric unit:
Ba: 0.000 0.000 0.000 [1 per cell]
La: 0.000 0.500 0.500 [3 per cell]
Bi: 0.500 0.500 0.500 [1 per cell]

Properties
Energy of formation   -0.01 eV per atom
Total energy   -20.6 eV for the cell shown
Excess energy over the best structure of this formula in the dataset   0 meV per atom



First-principles (PBE-GGA) data for an optimized crystal structure of Zr3Se5, as listed in Alexandria via LeMat-Bulk.

Unit cell a=7.110 b=9.035 c=4.921 alpha=90.00 beta=90.00 gamma=90.00
Space group Cmmm (No. 65)
Asymmetric unit:
Zr: 0.000 0.000 0.000 [2 per cell]
Zr: 0.000 0.265 0.500 [4 per cell]
Se: 0.000 0.500 0.000 [2 per cell]
Se: 0.209 0.000 0.500 [4 per cell]
Se: 0.250 0.250 0.000 [4 per cell]

Properties
Formation energy from raw total energies   -0.802 eV per atom
Total energy   -99.0 eV for the cell shown
Excess energy over the best structure of this formula in the dataset   413 meV per atom



First-principles (PBE-GGA) data for an optimized crystal structure of RuAu3, as listed in Alexandria via LeMat-Bulk.

Unit cell a=2.8528 b=2.8528 c=9.7311 alpha=90.00 beta=90.00 gamma=120.00
Space group P-6m2 (No. 187)
Asymmetric unit:
Ru: 0.0000 0.0000 0.0000 [1 per cell]
Au: 0.0000 0.0000 0.5000 [1 per cell]
Au: 0.6667 0.3333 0.2395 [2 per cell]

Properties
Energy of formation   0.27 eV per atom
Total energy   -18.0 eV for the cell shown



First-principles (PBE-GGA) data for an optimized crystal structure of CaMnN2, as listed in Alexandria via LeMat-Bulk.

Unit cell a=3.0867 b=3.0867 c=10.6218 alpha=90.00 beta=90.00 gamma=120.00
Space group P6_3/mmc (No. 194)
Asymmetric unit:
Ca: 0.3333 0.6667 0.2500 [2 per cell]
Mn: 0.0000 0.0000 0.0000 [2 per cell]
N: 0.3333 0.6667 0.5981 [4 per cell]

Properties
Formation energy from raw total energies   -0.567 eV per atom
Total energy   -60.2 eV for the cell shown



First-principles (PBE-GGA) data for an optimized crystal structure of Ba2MnGaSe5, as listed in Alexandria via LeMat-Bulk.

Unit cell a=4.176 b=18.800 c=13.167 alpha=90.00 beta=90.00 gamma=90.00
Space group Cmc2_1 (No. 36)
Asymmetric unit:
Ba: 0.000 0.125 0.000 [4 per cell]
Ba: 0.000 0.134 0.623 [4 per cell]
Mn: 0.000 0.210 0.335 [4 per cell]
Ga: 0.000 0.430 0.742 [4 per cell]
Se: 0.000 0.069 0.350 [4 per cell]
Se: 0.000 0.293 0.955 [4 per cell]
Se: 0.000 0.306 0.686 [4 per cell]
Se: 0.000 0.340 0.315 [4 per cell]
Se: 0.000 0.500 0.092 [4 per cell]

Properties
Formation energy from raw total energies   -1.171 eV per atom
Total energy   -176.0 eV for the cell shown



First-principles (PBE-GGA) data for an optimized crystal structure of SrErNi, as listed in Alexandria via LeMat-Bulk.

Unit cell a=21.453 b=3.924 c=9.532 alpha=90.00 beta=101.43 gamma=90.00
Space group C2/m (No. 12)
Asymmetric unit:
Sr: 0.027 0.000 0.199 [4 per cell]
Sr: 0.102 0.500 0.597 [4 per cell]
Er: 0.179 0.000 0.971 [4 per cell]
Er: 0.203 0.000 0.375 [4 per cell]
Ni: 0.214 0.000 0.671 [4 per cell]
Ni: 0.220 0.500 0.817 [4 per cell]

Properties
Energy of formation   -0.06 eV per atom
Total energy   -97.6 eV for the cell shown



First-principles (PBE-GGA) data for an optimized crystal structure of Ba2BeTc, as listed in Alexandria via LeMat-Bulk.

Unit cell a=8.121 b=3.497 c=8.977 alpha=90.00 beta=98.05 gamma=90.00
Space group C2/m (No. 12)
Asymmetric unit:
Ba: 0.248 0.000 0.260 [4 per cell]
Be: 0.000 0.500 0.000 [2 per cell]
Tc: 0.000 0.000 0.500 [2 per cell]

Properties
Energy of formation   1.21 eV per atom
Total energy   -26.2 eV for the cell shown



First-principles (PBE-GGA) data for an optimized crystal structure of TaTc2Br, as listed in Alexandria via LeMat-Bulk.

Unit cell a=6.404 b=6.404 c=6.404 alpha=90.00 beta=90.00 gamma=90.00
Space group F-43m (No. 216)
Asymmetric unit:
Ta: 0.000 0.000 0.000 [4 per cell]
Tc: 0.000 0.000 0.500 [4 per cell]
Tc: 0.250 0.250 0.250 [4 per cell]
Br: 0.250 0.250 0.750 [4 per cell]

Properties
Formation energy from raw total energies   0.868 eV per atom
Total energy   -123.1 eV for the cell shown
Excess energy over the best structure of this formula in the dataset   586 meV per atom



First-principles (PBE-GGA) data for an optimized crystal structure of Rb3CrN, as listed in Alexandria via LeMat-Bulk.

Unit cell a=5.894 b=5.894 c=5.894 alpha=90.00 beta=90.00 gamma=90.00
Space group Pm-3m (No. 221)
Asymmetric unit:
Rb: 0.000 0.000 0.500 [3 per cell]
Cr: 0.500 0.500 0.500 [1 per cell]
N: 0.000 0.000 0.000 [1 per cell]

Properties
Formation energy from raw total energies   0.956 eV per atom
Total energy   -16.1 eV for the cell shown
Excess energy over the best structure of this formula in the dataset   0 meV per atom



First-principles (PBE-GGA) data for an optimized crystal structure of Ag2MoW, as listed in Alexandria via LeMat-Bulk.

Unit cell a=3.286 b=3.286 c=6.372 alpha=90.00 beta=90.00 gamma=90.00
Space group P4mm (No. 99)
Asymmetric unit:
Ag: 0.000 0.000 0.000 [1 per cell]
Ag: 0.500 0.500 0.247 [1 per cell]
Mo: 0.000 0.000 0.528 [1 per cell]
W: 0.500 0.500 0.720 [1 per cell]

Properties
Energy of formation   0.50 eV per atom
Total energy   -27.5 eV for the cell shown
Excess energy over the best structure of this formula in the dataset   192 meV per atom



First-principles (PBE-GGA) data for an optimized crystal structure of Zn4CuRe, as listed in Alexandria via LeMat-Bulk.

Unit cell a=6.953 b=6.953 c=6.953 alpha=90.00 beta=90.00 gamma=90.00
Space group F-43m (No. 216)
Asymmetric unit:
Zn: 0.125 0.125 0.125 [16 per cell]
Cu: 0.250 0.250 0.750 [4 per cell]
Re: 0.000 0.000 0.500 [4 per cell]

Properties
Energy of formation   0.38 eV per atom
Total energy   -77.5 eV for the cell shown



First-principles (PBE-GGA) data for an optimized crystal structure of SmHo2Ni9, as listed in Alexandria via LeMat-Bulk.

Unit cell a=4.9797 b=4.9797 c=24.2960 alpha=90.00 beta=90.00 gamma=120.00
Space group R-3m (No. 166, hexagonal axes)
Asymmetric unit:
Sm: 0.0000 0.0000 0.0000 [3 per cell]
Ho: 0.0000 0.0000 0.1395 [6 per cell]
Ni: 0.0000 0.0000 0.3330 [6 per cell]
Ni: 0.0000 0.0000 0.5000 [3 per cell]
Ni: 0.0012 0.5006 0.9172 [18 per cell]

Properties
Energy of formation   -0.41 eV per atom
Total energy   -212.4 eV for the cell shown



First-principles (PBE-GGA) data for an optimized crystal structure of LiLaAlSi2, as listed in Alexandria via LeMat-Bulk.

Unit cell a=4.207 b=4.207 c=10.839 alpha=90.00 beta=90.00 gamma=90.00
Space group I-4m2 (No. 119)
Asymmetric unit:
Li: 0.000 0.000 0.000 [2 per cell]
La: 0.000 0.500 0.750 [2 per cell]
Al: 0.000 0.000 0.500 [2 per cell]
Si: 0.000 0.500 0.138 [4 per cell]

Properties
Formation energy from raw total energies   -0.525 eV per atom
Total energy   -48.1 eV for the cell shown



First-principles (PBE-GGA) data for an optimized crystal structure of Na2Ta2IrS6, as listed in Alexandria via LeMat-Bulk.

Unit cell a=5.991 b=10.560 c=7.237 alpha=90.00 beta=103.95 gamma=90.00
Space group C2/m (No. 12)
Asymmetric unit:
Na: 0.000 0.177 0.000 [4 per cell]
Ta: 0.000 0.364 0.500 [4 per cell]
Ir: 0.000 0.000 0.500 [2 per cell]
S: 0.213 0.171 0.692 [8 per cell]
S: 0.246 0.000 0.269 [4 per cell]

Properties
Formation energy from raw total energies   -0.863 eV per atom
Total energy   -138.9 eV for the cell shown